First-principles (PBE-GGA) data for NdZrN2 after structural relaxation, as listed in Alexandria.

a b c (Å): 3.4312 6.2978 13.4321
angles (deg): 90.00 90.00 90.00
Sites, in units of the cell vectors:
1 N 0.7500 0.6717 0.0363
2 N 0.2500 0.1069 0.7100
3 N 0.7500 0.3931 0.2100
4 N 0.2500 0.8283 0.5363
5 N 0.2500 0.3283 0.9637
6 N 0.7500 0.1717 0.4637
7 N 0.2500 0.6069 0.7900
8 N 0.7500 0.8931 0.2900
9 Nd 0.2500 0.2076 0.3044
10 Nd 0.7500 0.7924 0.6956
11 Nd 0.2500 0.7076 0.1956
12 Nd 0.7500 0.2924 0.8044
13 Zr 0.2500 0.6780 0.9418
14 Zr 0.2500 0.1780 0.5582
15 Zr 0.7500 0.3220 0.0582
16 Zr 0.7500 0.8220 0.4418

Values from the calculation:
The value obtained for the total energy is -138.38 eV per cell. For the energy relative to the elements, uncorrected, the calculation gives -1.157 eV/atom.

---

First-principles (PBE-GGA) data for NdZr2N4 after structural relaxation, as listed in Alexandria.

a b c (Å): 3.3077 5.7089 10.6478
angles (deg): 90.00 90.00 106.84
Sites, in units of the cell vectors:
1 N 0.5000 0.0000 0.0000
2 N 0.2368 0.4735 0.8870
3 N 0.5000 0.0000 0.5000
4 N 0.7632 0.5265 0.1130
5 N 0.0526 0.1052 0.2500
6 N 0.9474 0.8948 0.7500
7 N 0.2368 0.4735 0.6130
8 N 0.7632 0.5265 0.3870
9 Zr 0.8676 0.7351 0.9324
10 Zr 0.8676 0.7351 0.5676
11 Zr 0.1324 0.2649 0.0676
12 Zr 0.1324 0.2649 0.4324
13 Nd 0.6082 0.2164 0.7500
14 Nd 0.3918 0.7836 0.2500

Values from the calculation:
The value obtained for the total energy is -128.07 eV per cell. For the energy relative to the elements, uncorrected, the calculation gives -1.267 eV/atom. As for the offset from the most stable computed form: 0.000 eV per atom.

---

First-principles (PBE-GGA) data for NdZrN after structural relaxation, as listed in Alexandria.

a b c (Å): 3.7182 3.7182 8.8450
angles (deg): 90.00 90.00 90.00
Sites, in units of the cell vectors:
1 Nd 0.5000 0.0000 0.1832
2 Nd 0.0000 0.5000 0.8168
3 Zr 0.0000 0.0000 0.5000
4 Zr 0.5000 0.5000 0.5000
5 N 0.5000 0.0000 0.6805
6 N 0.0000 0.5000 0.3195

Values from the calculation:
The value obtained for the total energy is -45.16 eV per cell. For the energy relative to the elements, uncorrected, the calculation gives -0.313 eV/atom. As for the offset from the most stable computed form: 0.593 eV per atom.

---

First-principles (PBE-GGA) data for Nd3ZrN4 after structural relaxation, as listed in Alexandria.

a b c (Å): 3.5272 6.1404 6.1404
angles (deg): 109.11 90.00 90.00
Sites, in units of the cell vectors:
1 N 0.0000 0.7726 0.7726
2 N 0.5000 0.2344 0.7656
3 N 0.0000 0.2274 0.2274
4 N 0.5000 0.7656 0.2344
5 Nd 0.0000 0.5000 0.0000
6 Nd 0.5000 0.5000 0.5000
7 Nd 0.0000 0.0000 0.5000
8 Zr 0.5000 0.0000 0.0000

Values from the calculation:
The value obtained for the total energy is -67.62 eV per cell. For the energy relative to the elements, uncorrected, the calculation gives -1.433 eV/atom. As for the offset from the most stable computed form: 0.000 eV per atom.

---

First-principles (PBE-GGA) data for NiN after structural relaxation, as listed in Alexandria.

a b c (Å): 7.2546 7.2546 3.0492
angles (deg): 90.00 90.00 120.00
Sites, in units of the cell vectors:
1 Ni 0.1118 0.6636 0.7500
2 Ni 0.8882 0.3365 0.2500
3 Ni 0.4483 0.1118 0.2500
4 Ni 0.3365 0.4483 0.7500
5 Ni 0.5517 0.8882 0.7500
6 Ni 0.6636 0.5517 0.2500
7 N 0.6810 0.0603 0.2500
8 N 0.6208 0.6810 0.7500
9 N 0.0603 0.3792 0.7500
10 N 0.3190 0.9397 0.7500
11 N 0.3792 0.3190 0.2500
12 N 0.9397 0.6208 0.2500

Values from the calculation:
The value obtained for the total energy is -78.50 eV per cell. For the energy relative to the elements, uncorrected, the calculation gives 0.511 eV/atom. As for the offset from the most stable computed form: 0.267 eV per atom.

---

First-principles (PBE-GGA) data for NiN after structural relaxation, as listed in Alexandria.

a b c (Å): 2.6534 2.6534 5.6794
angles (deg): 90.00 90.00 90.00
Sites, in units of the cell vectors:
1 N 0.0000 0.0000 0.3959
2 N 0.0000 0.0000 0.6041
3 Ni 0.5000 0.0000 0.8434
4 Ni 0.0000 0.5000 0.1566

Values from the calculation:
The value obtained for the total energy is -27.10 eV per cell. For the energy relative to the elements, uncorrected, the calculation gives 0.279 eV/atom. As for the offset from the most stable computed form: 0.035 eV per atom.

---

First-principles (PBE-GGA) data for NiN after structural relaxation, as listed in Alexandria.

a b c (Å): 3.6767 3.2841 6.4451
angles (deg): 90.00 90.00 90.00
Sites, in units of the cell vectors:
1 Ni 0.5000 0.0000 0.2962
2 Ni 0.0000 0.5000 0.2037
3 Ni 0.0000 0.5000 0.7962
4 Ni 0.5000 0.0000 0.7038
5 N 0.5000 0.5000 0.0995
6 N 0.0000 0.0000 0.5995
7 N 0.5000 0.5000 0.9005
8 N 0.0000 0.0000 0.4005

Values from the calculation:
The value obtained for the total energy is -53.18 eV per cell. For the energy relative to the elements, uncorrected, the calculation gives 0.406 eV/atom. As for the offset from the most stable computed form: 0.162 eV per atom.

---

First-principles (PBE-GGA) data for NiN after structural relaxation, as listed in Alexandria.

a b c (Å): 5.4659 5.4659 2.8070
angles (deg): 90.00 90.00 90.00
Sites, in units of the cell vectors:
1 N 0.1885 0.1885 0.5000
2 N 0.8115 0.8115 0.5000
3 N 0.6885 0.3115 0.0000
4 N 0.3115 0.6885 0.0000
5 Ni 0.6536 0.6536 0.0000
6 Ni 0.1536 0.8464 0.5000
7 Ni 0.3464 0.3464 0.0000
8 Ni 0.8464 0.1536 0.5000

Values from the calculation:
The value obtained for the total energy is -52.86 eV per cell. For the energy relative to the elements, uncorrected, the calculation gives 0.446 eV/atom. As for the offset from the most stable computed form: 0.202 eV per atom.

---

First-principles (PBE-GGA) data for NiN after structural relaxation, as listed in Alexandria.

a b c (Å): 8.8268 9.5046 4.9848
angles (deg): 90.00 90.00 90.00
Sites, in units of the cell vectors:
1 Ni 0.2500 0.3982 0.2500
2 Ni 0.0000 0.1482 0.5000
3 Ni 0.7500 0.3982 0.7500
4 Ni 0.5000 0.8518 0.0000
5 Ni 0.0000 0.3518 0.0000
6 Ni 0.5000 0.3518 0.5000
7 Ni 0.2500 0.1018 0.2500
8 Ni 0.2500 0.8982 0.7500
9 Ni 0.7500 0.8982 0.2500
10 Ni 0.7500 0.6018 0.2500
11 Ni 0.7500 0.1018 0.7500
12 Ni 0.5000 0.1482 0.0000
13 Ni 0.2500 0.6018 0.7500
14 Ni 0.0000 0.8518 0.5000
15 Ni 0.5000 0.6482 0.5000
16 Ni 0.0000 0.6482 0.0000
17 N 0.6494 0.0000 0.0000
18 N 0.6006 0.2500 0.7500
19 N 0.3994 0.7500 0.7500
20 N 0.8994 0.7500 0.2500
21 N 0.1494 0.5000 0.0000
22 N 0.3994 0.2500 0.2500
23 N 0.3506 0.5000 0.5000
24 N 0.1494 0.0000 0.5000
25 N 0.1006 0.2500 0.2500
26 N 0.6494 0.5000 0.5000
27 N 0.3506 0.0000 0.0000
28 N 0.6006 0.7500 0.2500
29 N 0.8994 0.2500 0.7500
30 N 0.1006 0.7500 0.7500
31 N 0.8506 0.5000 0.0000
32 N 0.8506 0.0000 0.5000

Values from the calculation:
The value obtained for the total energy is -207.55 eV per cell. For the energy relative to the elements, uncorrected, the calculation gives 0.567 eV/atom. As for the offset from the most stable computed form: 0.323 eV per atom.

---

First-principles (PBE-GGA) data for NiN after structural relaxation, as listed in Alexandria.

a b c (Å): 6.0309 2.6108 5.2027
angles (deg): 90.00 104.06 90.00
Sites, in units of the cell vectors:
1 N 0.3982 0.0000 0.4693
2 N 0.3982 0.5000 0.9693
3 N 0.6018 0.5000 0.0307
4 N 0.6018 0.0000 0.5307
5 Ni 0.1686 0.5000 0.3830
6 Ni 0.8314 0.0000 0.1170
7 Ni 0.1686 0.0000 0.8830
8 Ni 0.8314 0.5000 0.6170

Values from the calculation:
The value obtained for the total energy is -54.26 eV per cell. For the energy relative to the elements, uncorrected, the calculation gives 0.271 eV/atom. As for the offset from the most stable computed form: 0.026 eV per atom.

---

First-principles (PBE-GGA) data for NiN after structural relaxation, as listed in Alexandria.

a b c (Å): 5.6780 5.2455 6.1466
angles (deg): 90.00 90.00 90.00
Sites, in units of the cell vectors:
1 N 0.1406 0.4364 0.2979
2 N 0.8594 0.9364 0.2021
3 N 0.8487 0.4129 0.9495
4 N 0.3487 0.0871 0.0505
5 N 0.1513 0.9129 0.5505
6 N 0.6513 0.5871 0.4495
7 N 0.3594 0.5636 0.7979
8 N 0.6406 0.0636 0.7021
9 Ni 0.6582 0.4237 0.7100
10 Ni 0.8418 0.5763 0.2100
11 Ni 0.3165 0.6052 0.4919
12 Ni 0.6835 0.1052 0.0081
13 Ni 0.3418 0.9237 0.7900
14 Ni 0.8165 0.8948 0.5081
15 Ni 0.1835 0.3948 0.9919
16 Ni 0.1582 0.0763 0.2900

Values from the calculation:
The value obtained for the total energy is -104.23 eV per cell. For the energy relative to the elements, uncorrected, the calculation gives 0.539 eV/atom. As for the offset from the most stable computed form: 0.295 eV per atom.

---

First-principles (PBE-GGA) data for NiN after structural relaxation, as listed in Alexandria.

a b c (Å): 3.0245 3.7061 6.9359
angles (deg): 90.00 90.28 90.00
Sites, in units of the cell vectors:
1 Ni 0.8727 0.5000 0.9183
2 Ni 0.8727 0.0000 0.4183
3 Ni 0.3757 0.5000 0.2050
4 Ni 0.3757 0.0000 0.7050
5 N 0.3728 0.6757 0.4765
6 N 0.3728 0.8243 0.9765
7 N 0.3728 0.1757 0.9765
8 N 0.3728 0.3243 0.4765

Values from the calculation:
The value obtained for the total energy is -53.01 eV per cell. For the energy relative to the elements, uncorrected, the calculation gives 0.427 eV/atom. As for the offset from the most stable computed form: 0.183 eV per atom.

---

First-principles (PBE-GGA) data for Ni3N after structural relaxation, as listed in Alexandria.

a b c (Å): 2.5718 4.3323 4.3304
angles (deg): 120.01 107.27 90.00
Sites, in units of the cell vectors:
1 Ni 0.3191 0.7000 0.6383
2 Ni 0.6809 0.0617 0.3617
3 Ni 0.5000 0.3688 0.0000
4 N 0.0000 0.0362 0.0000

Values from the calculation:
The value obtained for the total energy is -24.56 eV per cell. For the energy relative to the elements, uncorrected, the calculation gives 0.277 eV/atom.

---

First-principles (PBE-GGA) data for NiN after structural relaxation, as listed in Alexandria.

a b c (Å): 2.6112 2.7066 12.1448
angles (deg): 90.00 90.00 90.00
Sites, in units of the cell vectors:
1 Ni 0.5000 0.0000 0.1663
2 Ni 0.5000 0.5000 0.6663
3 Ni 0.0000 0.5000 0.3075
4 Ni 0.0000 0.0000 0.8075
5 N 0.0000 0.5000 0.4540
6 N 0.0000 0.5000 0.5495
7 N 0.0000 0.0000 0.0495
8 N 0.0000 0.0000 0.9540

Values from the calculation:
The value obtained for the total energy is -54.00 eV per cell. For the energy relative to the elements, uncorrected, the calculation gives 0.304 eV/atom. As for the offset from the most stable computed form: 0.059 eV per atom.

---

First-principles (PBE-GGA) data for NiN after structural relaxation, as listed in Alexandria.

a b c (Å): 3.0506 3.0506 5.0096
angles (deg): 90.00 90.00 120.00
Sites, in units of the cell vectors:
1 N 0.6667 0.3333 0.8536
2 N 0.3333 0.6667 0.3536
3 Ni 0.3333 0.6667 0.7284
4 Ni 0.6667 0.3333 0.2284

Values from the calculation:
The value obtained for the total energy is -26.40 eV per cell. For the energy relative to the elements, uncorrected, the calculation gives 0.453 eV/atom. As for the offset from the most stable computed form: 0.209 eV per atom.

---

First-principles (PBE-GGA) data for NiN after structural relaxation, as listed in Alexandria.

a b c (Å): 2.8378 7.9626 4.8604
angles (deg): 90.00 122.70 90.00
Sites, in units of the cell vectors:
1 Ni 0.0000 0.2500 0.2500
2 Ni 0.0000 0.7500 0.2500
3 Ni 0.0000 0.7500 0.7500
4 Ni 0.0000 0.2500 0.7500
5 N 0.0000 0.5762 0.5000
6 N 0.0000 0.0762 0.0000
7 N 0.0000 0.4238 0.5000
8 N 0.0000 0.9238 0.0000

Values from the calculation:
The value obtained for the total energy is -53.65 eV per cell. For the energy relative to the elements, uncorrected, the calculation gives 0.348 eV/atom. As for the offset from the most stable computed form: 0.103 eV per atom.

---

First-principles (PBE-GGA) data for NiN after structural relaxation, as listed in Alexandria.

a b c (Å): 2.7757 2.6294 11.2111
angles (deg): 90.00 90.00 90.00
Sites, in units of the cell vectors:
1 N 0.5000 0.0000 0.9468
2 N 0.0000 0.5000 0.5532
3 N 0.0000 0.5000 0.4468
4 N 0.5000 0.0000 0.0532
5 Ni 0.5000 0.5000 0.8287
6 Ni 0.5000 0.5000 0.1713
7 Ni 0.0000 0.0000 0.3287
8 Ni 0.0000 0.0000 0.6713

Values from the calculation:
The value obtained for the total energy is -54.47 eV per cell. For the energy relative to the elements, uncorrected, the calculation gives 0.244 eV/atom. As for the offset from the most stable computed form: 0.000 eV per atom.

---

First-principles (PBE-GGA) data for NiN after structural relaxation, as listed in Alexandria.

a b c (Å): 2.7931 2.7931 5.4444
angles (deg): 90.00 90.00 120.00
Sites, in units of the cell vectors:
1 Ni 0.3333 0.6667 0.8118
2 Ni 0.6667 0.3333 0.1882
3 N 0.0000 0.0000 0.6140
4 N 0.0000 0.0000 0.3860

Values from the calculation:
The value obtained for the total energy is -27.22 eV per cell. For the energy relative to the elements, uncorrected, the calculation gives 0.248 eV/atom. As for the offset from the most stable computed form: 0.003 eV per atom.

---

First-principles (PBE-GGA) data for NiN after structural relaxation, as listed in Alexandria.

a b c (Å): 3.1022 4.1494 9.2540
angles (deg): 90.00 90.00 90.00
Sites, in units of the cell vectors:
1 N 0.5000 0.0109 0.1495
2 N 0.0000 0.5387 0.0000
3 N 0.5000 0.4613 0.5000
4 N 0.0000 0.9891 0.6495
5 N 0.5000 0.0109 0.8505
6 N 0.0000 0.9891 0.3505
7 Ni 0.5000 0.2950 0.0000
8 Ni 0.0000 0.7050 0.5000
9 Ni 0.5000 0.2508 0.3236
10 Ni 0.5000 0.2508 0.6764
11 Ni 0.0000 0.7492 0.1764
12 Ni 0.0000 0.7492 0.8236

Values from the calculation:
The value obtained for the total energy is -78.71 eV per cell. For the energy relative to the elements, uncorrected, the calculation gives 0.494 eV/atom. As for the offset from the most stable computed form: 0.250 eV per atom.

---

First-principles (PBE-GGA) data for NiN after structural relaxation, as listed in Alexandria.

a b c (Å): 2.5374 2.5374 2.5374
angles (deg): 90.00 90.00 90.00
Sites, in units of the cell vectors:
1 Ni 0.0000 0.0000 0.0000
2 N 0.5000 0.5000 0.5000

Values from the calculation:
The value obtained for the total energy is -11.89 eV per cell. For the energy relative to the elements, uncorrected, the calculation gives 1.106 eV/atom. As for the offset from the most stable computed form: 0.862 eV per atom.